[1]
The following is a DFT calculation (PBE) of a geometry-optimized PtN2O2 structure.

Its crystal system is tetragonal. As for the total magnetic moment: 0.53 μB per cell. Its raw total energy is -22.68 eV/cell.

The structure belongs to space group P4/mmm (No. 123); the cell edges are 3.825, 3.825 and 3.967 Å and the angles 90.00°, 90.00° and 90.00°. The inequivalent atoms are Pt at (0.000, 0.000, 0.000), N at (0.000, 0.500, 0.000), O at (0.000, 0.000, 0.500) and O at (0.500, 0.500, 0.500).

[2]
The following is a DFT calculation (PBE) of a geometry-optimized AcGaAg structure.

Its crystal system is orthorhombic. As for the total magnetic moment: 0.00 μB per cell. Its formation energy is -0.440 eV per atom.

The structure belongs to space group Immm (No. 71); the cell edges are 4.723, 8.111 and 8.423 Å and the angles 90.00°, 90.00° and 90.00°. The inequivalent atoms are Ac at (0.000, 0.000, 0.238), Ga at (0.000, 0.345, 0.000) and Ag at (0.000, 0.322, 0.500).

[3]
The following is a DFT calculation (PBE) of a geometry-optimized Mg2TlCrPb structure.

Its crystal system is tetragonal. As for the total magnetic moment: 4.88 μB per cell. Its formation energy is 0.879 eV per atom.

The structure belongs to space group P4/mmm (No. 123); the cell edges are 5.404, 5.404 and 6.077 Å and the angles 90.00°, 90.00° and 90.00°. The inequivalent atoms are Mg at (0.000, 0.500, 0.000), Tl at (0.000, 0.000, 0.500), Cr at (0.500, 0.500, 0.500) and Pb at (0.000, 0.000, 0.000).

[4]
The following is a DFT calculation (PBE) of a geometry-optimized KLiNi2 structure.

Its crystal system is tetragonal. As for the total magnetic moment: 3.81 μB per cell. Its formation energy is 0.628 eV per atom.

The structure belongs to space group I4_1/amd (No. 141, origin choice 2); the cell edges are 4.621, 4.621 and 17.519 Å and the angles 90.00°, 90.00° and 90.00°. The inequivalent atoms are K at (0.000, 0.250, 0.375), Li at (0.000, 0.250, 0.875) and Ni at (0.000, 0.000, 0.000).

[5]
The following is a DFT calculation (PBE) of a geometry-optimized Mg2CoRe structure.

Its crystal system is tetragonal. As for the total magnetic moment: 2.18 μB per cell. Its formation energy is 0.395 eV per atom.

The structure belongs to space group P4/mmm (No. 123); the cell edges are 3.783, 3.783 and 4.234 Å and the angles 90.00°, 90.00° and 90.00°. The inequivalent atoms are Mg at (0.000, 0.500, 0.000), Co at (0.000, 0.000, 0.500) and Re at (0.500, 0.500, 0.500).

[6]
The following is a DFT calculation (PBE) of a geometry-optimized CeYMg2Au4 structure.

Its crystal system is trigonal. As for the total magnetic moment: 1.92 μB per cell. Its formation energy is -0.717 eV per atom.

The structure belongs to space group R-3m (No. 166, hexagonal axes); the cell edges are 4.9769, 4.9769 and 24.1766 Å and the angles 90.00°, 90.00° and 120.00°. The inequivalent atoms are Ce at (0.0000, 0.0000, 0.0000), Y at (0.0000, 0.0000, 0.5000), Mg at (0.0000, 0.0000, 0.2490), Au at (0.0000, 0.0000, 0.1274) and Au at (0.0000, 0.0000, 0.3764).

[7]
The following is a DFT calculation (PBE) of a geometry-optimized MnCuSe3 structure.

Its crystal system is trigonal. As for the total magnetic moment: 11.65 μB per cell. Its raw total energy is -69.73 eV/cell.

The structure belongs to space group R3m (No. 160, hexagonal axes); the cell edges are 6.7021, 6.7021 and 10.0321 Å and the angles 90.00°, 90.00° and 120.00°. The inequivalent atoms are Mn at (0.0000, 0.0000, 0.0000), Cu at (0.0000, 0.0000, 0.7297) and Se at (0.1776, 0.3552, 0.8409).

[8]
The following is a DFT calculation (PBE) of a geometry-optimized ZrMo2Br structure.

Its crystal system is tetragonal. As for the total magnetic moment: 0.00 μB per cell. Its raw total energy is -58.13 eV/cell.

The structure belongs to space group I-4m2 (No. 119); the cell edges are 4.425, 4.425 and 7.414 Å and the angles 90.00°, 90.00° and 90.00°. The inequivalent atoms are Zr at (0.000, 0.000, 0.000), Mo at (0.000, 0.000, 0.500), Mo at (0.000, 0.500, 0.250) and Br at (0.000, 0.500, 0.750).